CsSmFe2I8: relaxed, PBE.

calculated density: 4.0 Mg/m³
ΔE_f (raw): -8.855 eV/f.u.

a = 7.4869 Å, b = 7.4869 Å, c = 11.1987 Å
α = 83.97°, β = 83.97°, γ = 68.72°
Closest atoms and distances in Å follow each position.
Atoms (fractional coordinates):
Cs 0.0000 0.0000 0.5000  6 I 3.99-4.08
Sm 0.0000 0.0000 0.0000  6 I 3.08-3.12
Fe 0.6167 0.6167 0.2088  4 I 2.55-2.68
Fe 0.3833 0.3833 0.7912  4 I 2.55-2.68
I 0.7652 0.2739 0.7967  1 Fe 2.68
I 0.7498 0.7498 0.0061  1 Fe 2.63
I 0.6896 0.6896 0.4123  1 Fe 2.55
I 0.3104 0.3104 0.5877  1 Fe 2.55
I 0.2502 0.2502 0.9939  1 Fe 2.63
I 0.2739 0.7652 0.7967  1 Fe 2.68
I 0.7261 0.2348 0.2033  1 Fe 2.68
I 0.2348 0.7261 0.2033  1 Fe 2.68